Record 1
An optimized crystal structure of BeCd2Ni, computed with PBE.

Geometry as CIF:
```
data_BeCd2Ni
_cell_length_a 3.060
_cell_length_b 3.321
_cell_length_c 5.957
_cell_angle_alpha 90.00
_cell_angle_beta 90.12
_cell_angle_gamma 90.00
_space_group_name_H-M_alt 'P 1'
_space_group_IT_number 1
loop_
_space_group_symop_operation_xyz
'x,y,z'
loop_
_atom_site_label
_atom_site_type_symbol
_atom_site_fract_x
_atom_site_fract_y
_atom_site_fract_z
Be1 Be 0.000 0.000 0.000
Cd1 Cd 0.499 0.500 0.248
Cd2 Cd 0.501 0.500 0.752
Ni1 Ni 0.000 0.000 0.500
```

Results
E_form, kcal/mol of atoms: 5.82
Final energy, eV per atom: -2.58


Record 2
An optimized crystal structure of AcSc2AlPd4, computed with PBE.

Geometry as CIF:
```
data_AcSc2AlPd4
_cell_length_a 9.529
_cell_length_b 9.529
_cell_length_c 9.529
_cell_angle_alpha 27.59
_cell_angle_beta 27.59
_cell_angle_gamma 27.59
_space_group_name_H-M_alt 'P 1'
_space_group_IT_number 1
loop_
_space_group_symop_operation_xyz
'x,y,z'
loop_
_atom_site_label
_atom_site_type_symbol
_atom_site_fract_x
_atom_site_fract_y
_atom_site_fract_z
Ac1 Ac 0.000 0.000 0.000
Sc1 Sc 0.234 0.234 0.234
Sc2 Sc 0.766 0.766 0.766
Al1 Al 0.500 0.500 0.500
Pd1 Pd 0.135 0.135 0.135
Pd2 Pd 0.405 0.405 0.405
Pd3 Pd 0.595 0.595 0.595
Pd4 Pd 0.865 0.865 0.865
```

Results
E_form, kcal/mol of atoms: -19.52
Final energy, eV per atom: -6.01


Record 3
An optimized crystal structure of NaSm6In5, computed with PBE.

Geometry as CIF:
```
data_NaSm6In5
_cell_length_a 9.459
_cell_length_b 9.459
_cell_length_c 9.459
_cell_angle_alpha 146.52
_cell_angle_beta 132.27
_cell_angle_gamma 59.55
_space_group_name_H-M_alt 'P 1'
_space_group_IT_number 1
loop_
_space_group_symop_operation_xyz
'x,y,z'
loop_
_atom_site_label
_atom_site_type_symbol
_atom_site_fract_x
_atom_site_fract_y
_atom_site_fract_z
Na1 Na 0.000 0.000 0.000
Sm1 Sm 0.082 0.830 0.252
Sm2 Sm 0.258 0.500 0.758
Sm3 Sm 0.423 0.170 0.252
Sm4 Sm 0.577 0.830 0.748
Sm5 Sm 0.742 0.500 0.242
Sm6 Sm 0.918 0.170 0.748
In1 In 0.157 0.657 0.500
In2 In 0.334 0.334 0.000
In3 In 0.500 0.000 0.500
In4 In 0.666 0.666 0.000
In5 In 0.843 0.343 0.500
```

Results
E_form, kcal/mol of atoms: -8.97
Final energy, eV per atom: -4.00